Run i
First-principles (PBE) data for a relaxed BeCuBiIr crystal, as listed in OQMD via LeMat-Bulk.

Cell lengths 4.493, 4.493, 4.493 Å; angles 60.00, 60.00, 60.00 degrees
Positions (direct):
Bi 0.000 0.000 0.000
Cu 0.750 0.750 0.750
Be 0.500 0.500 0.500
Ir 0.250 0.250 0.250

## Properties
As for the space group: No. 216.

Run ii
First-principles (PBE) data for a relaxed BeCuBiIr crystal, as listed in OQMD via LeMat-Bulk.

Cell lengths 4.460, 4.460, 4.460 Å; angles 60.00, 60.00, 60.00 degrees
Positions (direct):
Cu 0.250 0.250 0.250
Ir 0.500 0.500 0.500
Bi 0.000 0.000 0.000
Be 0.750 0.750 0.750

## Properties
As for the space group: No. 216.

Q: What are the energies relative to the best structure? A: run i 0; run ii 54, in meV per atom.

Run i
First-principles (PBE) data for a relaxed LiBeCuBi crystal, as listed in OQMD via LeMat-Bulk.

Cell lengths 4.506, 4.506, 4.506 Å; angles 60.00, 60.00, 60.00 degrees
Positions (direct):
Bi 0.000 0.000 0.000
Cu 0.750 0.750 0.750
Be 0.500 0.500 0.500
Li 0.250 0.250 0.250

## Properties
As for the space group: No. 216.

Run ii
First-principles (PBE) data for a relaxed LiBeCuBi crystal, as listed in OQMD via LeMat-Bulk.

Cell lengths 4.462, 4.462, 4.462 Å; angles 60.00, 60.00, 60.00 degrees
Positions (direct):
Li 0.000 0.000 0.000
Bi 0.250 0.250 0.250
Be 0.500 0.500 0.500
Cu 0.750 0.750 0.750

## Properties
As for the space group: No. 216.

Q: What are the energies relative to the best structure? A: run i 58; run ii 0, in meV per atom.

Run i
First-principles (PBE) data for a relaxed MgBeCuBi crystal, as listed in OQMD via LeMat-Bulk.

Cell lengths 4.702, 4.702, 4.702 Å; angles 60.00, 60.00, 60.00 degrees
Positions (direct):
Be 0.750 0.750 0.750
Cu 0.500 0.500 0.500
Bi 0.000 0.000 0.000
Mg 0.250 0.250 0.250

## Properties
As for the space group: No. 216.

Run ii
First-principles (PBE) data for a relaxed MgBeCuBi crystal, as listed in OQMD via LeMat-Bulk.

Cell lengths 4.713, 4.713, 4.713 Å; angles 60.00, 60.00, 60.00 degrees
Positions (direct):
Bi 0.000 0.000 0.000
Cu 0.250 0.250 0.250
Be 0.750 0.750 0.750
Mg 0.500 0.500 0.500

## Properties
As for the space group: No. 216.

Q: What are the energies relative to the best structure? A: run i 41; run ii 0, in meV per atom.

Run i
First-principles (PBE) data for a relaxed BeCuBiMo crystal, as listed in OQMD via LeMat-Bulk.

Cell lengths 4.557, 4.557, 4.557 Å; angles 60.00, 60.00, 60.00 degrees
Positions (direct):
Be 0.250 0.250 0.250
Cu 0.750 0.750 0.750
Bi 0.000 0.000 0.000
Mo 0.500 0.500 0.500

## Properties
As for the space group: No. 216.

Run ii
First-principles (PBE) data for a relaxed BeCuBiMo crystal, as listed in OQMD via LeMat-Bulk.

Cell lengths 4.523, 4.523, 4.523 Å; angles 60.00, 60.00, 60.00 degrees
Positions (direct):
Cu 0.250 0.250 0.250
Be 0.500 0.500 0.500
Bi 0.000 0.000 0.000
Mo 0.750 0.750 0.750

## Properties
As for the space group: No. 216.

Q: What are the energies relative to the best structure? A: run i 58; run ii 0, in meV per atom.

Run i
First-principles (PBE) data for a relaxed BeNbCuBi crystal, as listed in OQMD via LeMat-Bulk.

Cell lengths 4.610, 4.610, 4.610 Å; angles 60.00, 60.00, 60.00 degrees
Positions (direct):
Cu 0.250 0.250 0.250
Bi 0.000 0.000 0.000
Be 0.500 0.500 0.500
Nb 0.750 0.750 0.750

## Properties
As for the space group: No. 216.

Run ii
First-principles (PBE) data for a relaxed BeNbCuBi crystal, as listed in OQMD via LeMat-Bulk.

Cell lengths 4.603, 4.603, 4.603 Å; angles 60.00, 60.00, 60.00 degrees
Positions (direct):
Bi 0.000 0.000 0.000
Nb 0.500 0.500 0.500
Cu 0.750 0.750 0.750
Be 0.250 0.250 0.250

## Properties
As for the space group: No. 216.

Q: What are the energies relative to the best structure? A: run i 17; run ii 0, in meV per atom.

Run i
First-principles (PBE) data for a relaxed BeCuNiBi crystal, as listed in OQMD via LeMat-Bulk.

Cell lengths 4.390, 4.390, 4.390 Å; angles 60.00, 60.00, 60.00 degrees
Positions (direct):
Ni 0.250 0.250 0.250
Cu 0.000 0.000 0.000
Bi 0.500 0.500 0.500
Be 0.750 0.750 0.750

## Properties
As for the space group: No. 216.

Run ii
First-principles (PBE) data for a relaxed BeCuNiBi crystal, as listed in OQMD via LeMat-Bulk.

Cell lengths 4.399, 4.399, 4.399 Å; angles 60.00, 60.00, 60.00 degrees
Positions (direct):
Cu 0.000 0.000 0.000
Be 0.750 0.750 0.750
Ni 0.500 0.500 0.500
Bi 0.250 0.250 0.250

## Properties
As for the space group: No. 216.

Q: What are the energies relative to the best structure? A: run i 35; run ii 0, in meV per atom.

Run i
First-principles (PBE) data for a relaxed BeCuBiPd crystal, as listed in OQMD via LeMat-Bulk.

Cell lengths 4.547, 4.547, 4.547 Å; angles 60.00, 60.00, 60.00 degrees
Positions (direct):
Be 0.500 0.500 0.500
Cu 0.750 0.750 0.750
Bi 0.000 0.000 0.000
Pd 0.250 0.250 0.250

## Properties
As for the space group: No. 216.

Run ii
First-principles (PBE) data for a relaxed BeCuBiPd crystal, as listed in OQMD via LeMat-Bulk.

Cell lengths 4.514, 4.514, 4.514 Å; angles 60.00, 60.00, 60.00 degrees
Positions (direct):
Bi 0.000 0.000 0.000
Pd 0.500 0.500 0.500
Be 0.750 0.750 0.750
Cu 0.250 0.250 0.250

## Properties
As for the space group: No. 216.

Q: What are the energies relative to the best structure? A: run i 25; run ii 0, in meV per atom.

Run i
First-principles (PBE) data for a relaxed BeCuBiW crystal, as listed in OQMD via LeMat-Bulk.

Cell lengths 4.539, 4.539, 4.539 Å; angles 60.00, 60.00, 60.00 degrees
Positions (direct):
Bi 0.000 0.000 0.000
Cu 0.750 0.750 0.750
W 0.250 0.250 0.250
Be 0.500 0.500 0.500

## Properties
As for the space group: No. 216.

Run ii
First-principles (PBE) data for a relaxed BeCuBiW crystal, as listed in OQMD via LeMat-Bulk.

Cell lengths 4.498, 4.498, 4.498 Å; angles 60.00, 60.00, 60.00 degrees
Positions (direct):
W 0.500 0.500 0.500
Bi 0.000 0.000 0.000
Cu 0.750 0.750 0.750
Be 0.250 0.250 0.250

## Properties
As for the space group: No. 216.

Q: What are the energies relative to the best structure? A: run i 0; run ii 31, in meV per atom.